InCu2Ir | the Alexandria database | GGA-PBEsol | relaxed; SG = P4mm
1.0
3.047 0.000 0.000
0.000 3.047 0.000
0.000 0.000 6.079
In Cu Ir
1 2 1
Direct
0.000 0.000 0.000
0.000 0.000 0.524
0.500 0.500 0.720
0.500 0.500 0.280

=====

YIn2CuIr | the Alexandria database | GGA-PBEsol | relaxed; SG = P4/mmm
1.0
5.739 0.000 0.000
0.000 5.739 0.000
0.000 0.000 4.846
Y In Cu Ir
1 2 1 1
Direct
0.000 0.000 0.000
0.000 0.500 0.000
0.500 0.000 0.000
0.500 0.500 0.500
0.000 0.000 0.500

=====

We obtain magnetization values of 0.0 0.0 μB per cell for the records listed above, in that order.
We obtain energy values of -5.30 -3.99 eV per atom for the records listed above, in that order.
We obtain V values of 14.11 31.92 A^3/atom for the records listed above, in that order.